! ReNi2Pt | Alexandria via LeMat-Bulk | PBE | relaxed; values from VASP
! Fermi-level density of states ... 1.344 states/eV per atom
! E above lowest polymorph ... 260.9 meV/atom
! Space group ... F-43m, No. 216
&SYSTEM
  ibrav = 0, nat = 4, ntyp = 3
/
ATOMIC_SPECIES
Ni 58.69 Ni.upf
Re 186.21 Re.upf
Pt 195.08 Pt.upf
ATOMIC_POSITIONS crystal
Ni 0.000 0.000 0.000
Ni 0.250 0.250 0.250
Re 0.750 0.750 0.750
Pt 0.500 0.500 0.500
CELL_PARAMETERS angstrom
4.230 0.000 0.000
2.115 3.663 0.000
2.115 1.221 3.454



! Ni3IrRh3 | Alexandria via LeMat-Bulk | PBE | relaxed; values from VASP
! Fermi-level density of states ... 1.923 states/eV per atom
! E above lowest polymorph ... 146.5 meV/atom
! Space group ... P6_3/m, No. 176
&SYSTEM
  ibrav = 0, nat = 14, ntyp = 3
/
ATOMIC_SPECIES
Rh 102.91 Rh.upf
Ir 192.22 Ir.upf
Ni 58.69 Ni.upf
ATOMIC_POSITIONS crystal
Rh 0.750 0.897 0.382
Rh 0.250 0.382 0.485
Rh 0.750 0.485 0.103
Rh 0.250 0.103 0.618
Rh 0.250 0.515 0.897
Rh 0.750 0.618 0.515
Ir 0.750 0.333 0.667
Ir 0.250 0.667 0.333
Ni 0.750 0.264 0.859
Ni 0.250 0.859 0.595
Ni 0.750 0.595 0.736
Ni 0.250 0.736 0.141
Ni 0.250 0.405 0.264
Ni 0.750 0.141 0.405
CELL_PARAMETERS angstrom
2.654 0.000 0.000
0.000 10.576 0.000
0.000 -5.288 9.159